# FeOF (SCAN, single point on PBEsol structure)
data_FeOF
_chemical_formula_sum 'Fe2 O2 F2'
_cell_length_a 3.043
_cell_length_b 3.771
_cell_length_c 5.885
_cell_angle_alpha 90.00
_cell_angle_beta 90.00
_cell_angle_gamma 90.00
_space_group_name_H-M_alt 'P m m n'
_space_group_IT_number 59
loop_
_space_group_symop_operation_xyz
'x,y,z'
'-x,-y,-z'
'-x+1/2,-y+1/2,z'
'x+1/2,y+1/2,-z'
'x+1/2,-y,-z'
'-x+1/2,y,z'
'-x,y+1/2,-z'
'x,-y+1/2,z'
loop_
_atom_site_label
_atom_site_type_symbol
_atom_site_fract_x
_atom_site_fract_y
_atom_site_fract_z
Fe1 Fe 0.250 0.250 0.142
O1 O 0.250 0.750 0.103
F1 F 0.250 0.750 0.650
# Calculated total energy in Ha/atom: -0.4118

***

# Fe2O3F (SCAN, single point on PBEsol structure)
data_Fe2O3F
_chemical_formula_sum 'Fe8 O12 F4'
_cell_length_a 5.651
_cell_length_b 6.094
_cell_length_c 6.451
_cell_angle_alpha 90.00
_cell_angle_beta 90.00
_cell_angle_gamma 90.00
_space_group_name_H-M_alt 'I m m a'
_space_group_IT_number 74
_space_group_name_Hall '-I 2b 2'
loop_
_atom_site_label
_atom_site_type_symbol
_atom_site_fract_x
_atom_site_fract_y
_atom_site_fract_z
Fe1 Fe 0.000 0.250 0.222
Fe2 Fe 0.250 0.250 0.750
O1 O 0.000 0.250 0.940
O2 O 0.250 0.053 0.250
F1 F 0.000 0.250 0.522
# Calculated total energy in Ha/atom: -0.4191

***

# FeOF (SCAN, single point on PBEsol structure)
data_FeOF
_chemical_formula_sum 'Fe4 O4 F4'
_cell_length_a 6.261
_cell_length_b 6.261
_cell_length_c 2.834
_cell_angle_alpha 90.00
_cell_angle_beta 90.00
_cell_angle_gamma 90.00
_space_group_name_H-M_alt 'P 42/m'
_space_group_IT_number 84
loop_
_space_group_symop_operation_xyz
'x,y,z'
'-x,-y,-z'
'-y,x,z+1/2'
'y,-x,-z+1/2'
'-x,-y,z'
'x,y,-z'
'y,-x,z+1/2'
'-y,x,-z+1/2'
loop_
_atom_site_label
_atom_site_type_symbol
_atom_site_fract_x
_atom_site_fract_y
_atom_site_fract_z
Fe1 Fe 0.227 0.767 0.000
O1 O 0.049 0.753 0.500
F1 F 0.251 0.450 0.000
# Calculated total energy in Ha/atom: -0.4108

***

# Fe4O3F5 (SCAN, single point on PBEsol structure)
data_Fe4O3F5
_chemical_formula_sum 'Fe8 O6 F10'
_cell_length_a 5.710
_cell_length_b 7.116
_cell_length_c 6.427
_cell_angle_alpha 90.00
_cell_angle_beta 90.00
_cell_angle_gamma 90.00
_space_group_name_H-M_alt 'I m m 2'
_space_group_IT_number 44
loop_
_space_group_symop_operation_xyz
'x,y,z'
'-x,-y,z'
'-x,y,z'
'x,-y,z'
'x+1/2,y+1/2,z+1/2'
'-x+1/2,-y+1/2,z+1/2'
'-x+1/2,y+1/2,z+1/2'
'x+1/2,-y+1/2,z+1/2'
loop_
_atom_site_label
_atom_site_type_symbol
_atom_site_fract_x
_atom_site_fract_y
_atom_site_fract_z
Fe1 Fe 0.000 0.000 0.000
Fe2 Fe 0.000 0.500 0.461
Fe3 Fe 0.229 0.000 0.498
O1 O 0.000 0.000 0.292
O2 O 0.000 0.000 0.705
O3 O 0.000 0.500 0.168
F1 F 0.000 0.500 0.788
F2 F 0.247 0.298 0.493
# Calculated total energy in Ha/atom: -0.4081

***

# Fe4OF7 (SCAN, single point on PBEsol structure)
data_Fe4OF7
_chemical_formula_sum 'Fe8 O2 F14'
_cell_length_a 5.928
_cell_length_b 6.964
_cell_length_c 6.795
_cell_angle_alpha 90.00
_cell_angle_beta 90.00
_cell_angle_gamma 90.00
_space_group_name_H-M_alt 'I m m 2'
_space_group_IT_number 44
loop_
_space_group_symop_operation_xyz
'x,y,z'
'-x,-y,z'
'-x,y,z'
'x,-y,z'
'x+1/2,y+1/2,z+1/2'
'-x+1/2,-y+1/2,z+1/2'
'-x+1/2,y+1/2,z+1/2'
'x+1/2,-y+1/2,z+1/2'
loop_
_atom_site_label
_atom_site_type_symbol
_atom_site_fract_x
_atom_site_fract_y
_atom_site_fract_z
Fe1 Fe 0.000 0.000 0.000
Fe2 Fe 0.000 0.500 0.472
Fe3 Fe 0.225 0.000 0.470
O1 O 0.000 0.000 0.271
F1 F 0.000 0.000 0.703
F2 F 0.000 0.500 0.169
F3 F 0.000 0.500 0.772
F4 F 0.244 0.294 0.475
# Calculated total energy in Ha/atom: -0.3993

***

# Fe6O5F7 (SCAN, single point on PBEsol structure)
data_Fe6O5F7
_chemical_formula_sum 'Fe12 O10 F14'
_cell_length_a 9.163
_cell_length_b 6.308
_cell_length_c 7.650
_cell_angle_alpha 90.00
_cell_angle_beta 118.14
_cell_angle_gamma 90.00
_space_group_name_H-M_alt 'C 1 2 1'
_space_group_IT_number 5
loop_
_space_group_symop_operation_xyz
'x,y,z'
'-x,y,-z'
'x+1/2,y+1/2,z'
'-x+1/2,y+1/2,-z'
loop_
_atom_site_label
_atom_site_type_symbol
_atom_site_fract_x
_atom_site_fract_y
_atom_site_fract_z
Fe1 Fe 0.000 0.000 0.000
Fe2 Fe 0.000 0.034 0.500
Fe3 Fe 0.149 0.538 0.651
Fe4 Fe 0.182 0.543 0.172
O1 O 0.000 0.713 0.000
O2 O 0.153 0.237 0.660
O3 O 0.156 0.837 0.664
F1 F 0.000 0.321 0.000
F2 F 0.074 0.534 0.356
F3 F 0.108 0.032 0.293
F4 F 0.231 0.030 0.036
# Calculated total energy in Ha/atom: -0.4117

***

# Fe6O5F7 (SCAN, single point on PBEsol structure)
data_Fe6O5F7
_chemical_formula_sum 'Fe12 O10 F14'
_cell_length_a 8.849
_cell_length_b 7.006
_cell_length_c 6.234
_cell_angle_alpha 90.00
_cell_angle_beta 90.00
_cell_angle_gamma 90.00
_space_group_name_H-M_alt 'A m m 2'
_space_group_IT_number 38
loop_
_space_group_symop_operation_xyz
'x,y,z'
'-x,-y,z'
'-x,y,z'
'x,-y,z'
'x,y+1/2,z+1/2'
'-x,-y+1/2,z+1/2'
'-x,y+1/2,z+1/2'
'x,-y+1/2,z+1/2'
loop_
_atom_site_label
_atom_site_type_symbol
_atom_site_fract_x
_atom_site_fract_y
_atom_site_fract_z
Fe1 Fe 0.000 0.000 0.000
Fe2 Fe 0.154 0.000 0.507
Fe3 Fe 0.323 0.000 0.012
Fe4 Fe 0.500 0.000 0.468
O1 O 0.163 0.000 0.206
O2 O 0.166 0.000 0.798
O3 O 0.500 0.000 0.180
F1 F 0.000 0.211 0.500
F2 F 0.336 0.197 0.496
F3 F 0.500 0.000 0.788
# Calculated total energy in Ha/atom: -0.4124

***

# Fe4OF7 (SCAN, single point on PBEsol structure)
data_Fe4OF7
_chemical_formula_sum 'Fe8 O2 F14'
_cell_length_a 5.942
_cell_length_b 6.934
_cell_length_c 6.778
_cell_angle_alpha 90.00
_cell_angle_beta 90.00
_cell_angle_gamma 90.00
_space_group_name_H-M_alt 'A m m 2'
_space_group_IT_number 38
loop_
_space_group_symop_operation_xyz
'x,y,z'
'-x,-y,z'
'-x,y,z'
'x,-y,z'
'x,y+1/2,z+1/2'
'-x,-y+1/2,z+1/2'
'-x,y+1/2,z+1/2'
'x,-y+1/2,z+1/2'
loop_
_atom_site_label
_atom_site_type_symbol
_atom_site_fract_x
_atom_site_fract_y
_atom_site_fract_z
Fe1 Fe 0.000 0.000 0.000
Fe2 Fe 0.226 0.000 0.471
Fe3 Fe 0.500 0.000 0.974
O1 O 0.000 0.000 0.271
F1 F 0.000 0.000 0.702
F2 F 0.256 0.206 0.975
F3 F 0.500 0.000 0.273
F4 F 0.500 0.000 0.670
# Calculated total energy in Ha/atom: -0.3994

***

# Fe4OF7 (SCAN, single point on PBEsol structure)
data_Fe4OF7
_chemical_formula_sum 'Fe8 O2 F14'
_cell_length_a 5.700
_cell_length_b 4.845
_cell_length_c 10.074
_cell_angle_alpha 90.00
_cell_angle_beta 92.66
_cell_angle_gamma 90.00
_space_group_name_H-M_alt 'P 1 c 1'
_space_group_IT_number 7
loop_
_space_group_symop_operation_xyz
'x,y,z'
'x,-y,z+1/2'
loop_
_atom_site_label
_atom_site_type_symbol
_atom_site_fract_x
_atom_site_fract_y
_atom_site_fract_z
Fe1 Fe 0.000 0.229 0.000
Fe2 Fe 0.269 0.237 0.724
Fe3 Fe 0.498 0.246 0.483
Fe4 Fe 0.802 0.250 0.224
O1 O 0.057 0.036 0.163
F1 F 0.230 0.465 0.553
F2 F 0.294 0.054 0.912
F3 F 0.497 0.453 0.303
F4 F 0.558 0.037 0.658
F5 F 0.723 0.471 0.054
F6 F 0.781 0.047 0.407
F7 F 0.997 0.447 0.816
# Calculated total energy in Ha/atom: -0.3991

***

# FeO2F2 (SCAN, single point on PBEsol structure)
data_FeO2F2
_chemical_formula_sum 'Fe1 O2 F2'
_cell_length_a 3.502
_cell_length_b 3.502
_cell_length_c 3.737
_cell_angle_alpha 90.00
_cell_angle_beta 90.00
_cell_angle_gamma 90.00
_space_group_name_H-M_alt 'P 4/m m m'
_space_group_IT_number 123
_space_group_name_Hall '-P 4 2'
loop_
_atom_site_label
_atom_site_type_symbol
_atom_site_fract_x
_atom_site_fract_y
_atom_site_fract_z
Fe1 Fe 0.000 0.000 0.000
O1 O 0.000 0.500 0.000
F1 F 0.000 0.000 0.500
F2 F 0.500 0.500 0.500
# Calculated total energy in Ha/atom: -0.3024

***

# Fe2OF3 (SCAN, single point on PBEsol structure)
data_Fe2OF3
_chemical_formula_sum 'Fe12 O6 F18'
_cell_length_a 9.202
_cell_length_b 6.574
_cell_length_c 7.571
_cell_angle_alpha 90.00
_cell_angle_beta 115.45
_cell_angle_gamma 90.00
_space_group_name_H-M_alt 'C 1 2 1'
_space_group_IT_number 5
loop_
_space_group_symop_operation_xyz
'x,y,z'
'-x,y,-z'
'x+1/2,y+1/2,z'
'-x+1/2,y+1/2,-z'
loop_
_atom_site_label
_atom_site_type_symbol
_atom_site_fract_x
_atom_site_fract_y
_atom_site_fract_z
Fe1 Fe 0.000 0.000 0.000
Fe2 Fe 0.000 0.011 0.500
Fe3 Fe 0.162 0.453 0.160
Fe4 Fe 0.167 0.478 0.662
O1 O 0.000 0.295 0.500
O2 O 0.171 0.168 0.174
F1 F 0.000 0.700 0.500
F2 F 0.068 0.483 0.863
F3 F 0.101 0.976 0.801
F4 F 0.163 0.766 0.162
F5 F 0.234 0.983 0.538
# Calculated total energy in Ha/atom: -0.4052

***

# FeOF (SCAN, single point on PBEsol structure)
data_FeOF
_chemical_formula_sum 'Fe2 O2 F2'
_cell_length_a 2.839
_cell_length_b 4.509
_cell_length_c 4.336
_cell_angle_alpha 90.00
_cell_angle_beta 90.00
_cell_angle_gamma 90.00
_space_group_name_H-M_alt 'P m n 21'
_space_group_IT_number 31
loop_
_space_group_symop_operation_xyz
'x,y,z'
'-x+1/2,-y,z+1/2'
'-x,y,z'
'x+1/2,-y,z+1/2'
loop_
_atom_site_label
_atom_site_type_symbol
_atom_site_fract_x
_atom_site_fract_y
_atom_site_fract_z
Fe1 Fe 0.000 0.210 0.000
O1 O 0.000 0.929 0.713
F1 F 0.000 0.569 0.277
# Calculated total energy in Ha/atom: -0.4106

***

Uncorrected formation energy
In order: -1.905 -1.655 -1.878 -2.030 -2.239 -2.051 -2.070 -2.240 -2.232 -0.696 -2.175 -1.873
Unit: eV per atom